# 1
## MnGaSiRhSe (PBE)

Data for a relaxed structure of MnGaSiRhSe.

The structure belongs to space group Cm (No. 8); the cell edges are 8.643, 3.127 and 6.480 Å and the angles 90.00°, 107.30° and 90.00°. The inequivalent atoms are Mn at (0.000, 0.000, 0.000), Ga at (0.257, 0.000, 0.900), Si at (0.144, 0.500, 0.279), Rh at (0.359, 0.000, 0.301) and Se at (0.489, 0.000, 0.705).

Its crystal system is monoclinic.


# 2
## CeEr2S5 (PBE)

Data for a relaxed structure of CeEr2S5.

The structure belongs to space group Cmcm (No. 63); the cell edges are 5.280, 13.122 and 13.182 Å and the angles 90.00°, 90.00° and 90.00°. The inequivalent atoms are Ce at (0.000, 0.200, 0.250), Er at (0.000, 0.144, 0.556), S at (0.000, 0.046, 0.121), S at (0.000, 0.235, 0.750) and S at (0.000, 0.313, 0.070).

Its crystal system is orthorhombic.


# 3
## NaTcSb2Te (PBE)

Data for a relaxed structure of NaTcSb2Te.

The structure belongs to space group P4/mmm (No. 123); the cell edges are 5.077, 5.077 and 5.983 Å and the angles 90.00°, 90.00° and 90.00°. The inequivalent atoms are Na at (0.000, 0.000, 0.000), Tc at (0.500, 0.500, 0.500), Sb at (0.000, 0.500, 0.500) and Te at (0.500, 0.500, 0.000).

Its crystal system is tetragonal.


# 4
## LiNd2Mg (PBE)

Data for a relaxed structure of LiNd2Mg.

The structure belongs to space group Fm-3m (No. 225); the cell edges are 7.736, 7.736 and 7.736 Å and the angles 90.00°, 90.00° and 90.00°. The inequivalent atoms are Li at (0.000, 0.000, 0.000), Nd at (0.250, 0.250, 0.250) and Mg at (0.000, 0.000, 0.500).

The formation energy is 0.013 eV per atom. Its crystal system is cubic.


# 5
## CrGaCuRh (PBE)

Data for a relaxed structure of CrGaCuRh.

The structure belongs to space group F-43m (No. 216); the cell edges are 6.036, 6.036 and 6.036 Å and the angles 90.00°, 90.00° and 90.00°. The inequivalent atoms are Cr at (0.000, 0.000, 0.000), Ga at (0.250, 0.250, 0.250), Cu at (0.250, 0.250, 0.750) and Rh at (0.000, 0.000, 0.500).

The formation energy is -0.136 eV per atom. Its crystal system is cubic.


# 6
## CaMgBOs2 (PBE)

Data for a relaxed structure of CaMgBOs2.

The structure belongs to space group P4/mmm (No. 123); the cell edges are 4.594, 4.594 and 5.060 Å and the angles 90.00°, 90.00° and 90.00°. The inequivalent atoms are Ca at (0.000, 0.000, 0.000), Mg at (0.000, 0.000, 0.500), B at (0.500, 0.500, 0.000) and Os at (0.000, 0.500, 0.500).

The formation energy is 2.499 eV per atom. Its crystal system is tetragonal.


# 7
## CaCuPb2 (PBE)

Data for a relaxed structure of CaCuPb2.

The structure belongs to space group P4/mmm (No. 123); the cell edges are 4.740, 4.740 and 4.538 Å and the angles 90.00°, 90.00° and 90.00°. The inequivalent atoms are Ca at (0.000, 0.000, 0.000), Cu at (0.500, 0.500, 0.000) and Pb at (0.000, 0.500, 0.500).

The formation energy is -0.086 eV per atom. Its crystal system is tetragonal.


# 8
## Th7In5Sn (PBE)

Data for a relaxed structure of Th7In5Sn.

The structure belongs to space group Imm2 (No. 44); the cell edges are 6.156, 10.903 and 11.701 Å and the angles 90.00°, 90.00° and 90.00°. The inequivalent atoms are Th at (0.000, 0.000, 0.000), Th at (0.000, 0.000, 0.278), Th at (0.000, 0.327, 0.145), Th at (0.000, 0.334, 0.639), Th at (0.000, 0.500, 0.923), In at (0.000, 0.500, 0.389), In at (0.248, 0.243, 0.887) and Sn at (0.000, 0.000, 0.573).

The formation energy is -0.133 eV per atom. Its crystal system is orthorhombic.


# 9
## Ni7Pt3Rh2 (PBE)

Data for a relaxed structure of Ni7Pt3Rh2.

The structure belongs to space group Cmmm (No. 65); the cell edges are 3.905, 22.839 and 3.709 Å and the angles 90.00°, 90.00° and 90.00°. The inequivalent atoms are Ni at (0.000, 0.000, 0.000), Ni at (0.000, 0.077, 0.500), Ni at (0.000, 0.273, 0.000), Ni at (0.000, 0.423, 0.000), Pt at (0.000, 0.346, 0.500), Pt at (0.000, 0.500, 0.500) and Rh at (0.000, 0.157, 0.000).

The formation energy is 0.160 eV per atom. Its crystal system is orthorhombic.


# 10
## Pr6Nd2In (PBE)

Data for a relaxed structure of Pr6Nd2In.

The structure belongs to space group Ibam (No. 72); the cell edges are 6.393, 9.459 and 20.430 Å and the angles 90.00°, 90.00° and 90.00°. The inequivalent atoms are Pr at (0.000, 0.000, 0.083), Pr at (0.107, 0.322, 0.174), Nd at (0.061, 0.329, 0.500) and In at (0.000, 0.000, 0.250).

The formation energy is -0.049 eV per atom. Its crystal system is orthorhombic.


# 11
## LaNd3Y6Th2 (PBE)

Data for a relaxed structure of LaNd3Y6Th2.

The structure belongs to space group C2/m (No. 12); the cell edges are 6.284, 10.885 and 11.828 Å and the angles 90.00°, 100.24° and 90.00°. The inequivalent atoms are La at (0.000, 0.000, 0.000), Nd at (0.000, 0.166, 0.500), Nd at (0.000, 0.500, 0.500), Y at (0.243, 0.500, 0.246), Y at (0.249, 0.331, 0.754) and Th at (0.000, 0.333, 0.000).

The formation energy is 0.021 eV per atom. Its crystal system is monoclinic.


# 12
## TbAuF (PBE)

Data for a relaxed structure of TbAuF.

The structure belongs to space group C2/m (No. 12); the cell edges are 9.446, 3.808 and 8.115 Å and the angles 90.00°, 121.09° and 90.00°. The inequivalent atoms are Tb at (0.180, 0.000, 0.257), Au at (0.115, 0.500, 0.931) and F at (0.198, 0.000, 0.562).

Its crystal system is monoclinic.


# 13
## Si2SnPd (PBE)

Data for a relaxed structure of Si2SnPd.

The structure belongs to space group I-42d (No. 122); the cell edges are 4.438, 4.438 and 16.147 Å and the angles 90.00°, 90.00° and 90.00°. The inequivalent atoms are Si at (0.151, 0.250, 0.125), Sn at (0.000, 0.000, 0.500) and Pd at (0.000, 0.000, 0.000).

Its crystal system is tetragonal.


no.,M_tot (μB per formula unit),DFT total energy (eV per atom)
1,2.2,-5.8360
2,0.0,-6.3830
3,0.9,-4.3944
4,0.0,-3.2479
5,3.5,-6.1603
6,1.8,-4.0472
7,0.0,-3.4642
8,0.0,-5.4895
9,7.1,-5.9480
10,0.0,-4.5992
11,0.0,-6.0503
12,0.0,-5.4246
13,0.0,-5.0000